# 1
A geometry-optimized U2PaSn structure. Source: the Alexandria database, functional PBE.

Output
As for the crystal system: trigonal. Its energy above the lowest structure with this stoichiometry is 190.2 meV/atom.

The structure in extended XYZ format:
```
4
Lattice="1.544 0.891 11.177 -1.544 0.891 11.177 0.000 -1.782 11.177" Properties=species:S:1:pos:R:3 pbc="T T T"
U 0.000 0.000 8.392
U 0.000 0.000 25.140
Pa 0.000 0.000 16.766
Sn 0.000 0.000 0.000
```

# 2
A geometry-optimized UPa2Sn structure. Source: the Alexandria database, functional PBE.

Output
As for the crystal system: cubic. Its energy above the lowest structure with this stoichiometry is 216.8 meV/atom.

The structure in extended XYZ format:
```
4
Lattice="0.000 3.656 3.656 3.656 0.000 3.656 3.656 3.656 0.000" Properties=species:S:1:pos:R:3 pbc="T T T"
U 0.000 0.000 0.000
Pa 1.828 1.828 1.828
Pa 5.483 5.483 5.483
Sn 3.656 3.656 3.656
```

# 3
A geometry-optimized UPa3Sn12 structure. Source: the Alexandria database, functional PBE.

Output
The value obtained for the total energy is -92.1 eV per formula unit. As for the crystal system: tetragonal.

The structure in extended XYZ format:
```
16
Lattice="4.651 0.000 0.000 0.000 4.651 0.000 0.000 0.000 18.472" Properties=species:S:1:pos:R:3 pbc="T T T"
U 0.000 0.000 0.000
Pa 0.000 0.000 4.615
Pa 0.000 0.000 9.236
Pa 0.000 0.000 13.858
Sn 0.000 2.326 2.292
Sn 0.000 2.326 6.921
Sn 0.000 2.326 11.551
Sn 0.000 2.326 16.181
Sn 2.326 0.000 2.292
Sn 2.326 0.000 6.921
Sn 2.326 0.000 11.551
Sn 2.326 0.000 16.181
Sn 2.326 2.326 0.000
Sn 2.326 2.326 4.606
Sn 2.326 2.326 9.236
Sn 2.326 2.326 13.867
```

# 4
A geometry-optimized UPa2Sn9 structure. Source: the Alexandria database, functional PBE.

Output
The value obtained for the total energy is -69.3 eV per formula unit. As for the crystal system: tetragonal.

The structure in extended XYZ format:
```
12
Lattice="4.643 0.000 0.000 0.000 4.643 0.000 0.000 0.000 13.897" Properties=species:S:1:pos:R:3 pbc="T T T"
U 0.000 0.000 0.000
Pa 0.000 0.000 4.638
Pa 0.000 0.000 9.259
Sn 0.000 2.321 2.305
Sn 0.000 2.321 6.948
Sn 0.000 2.321 11.592
Sn 2.321 0.000 2.305
Sn 2.321 0.000 6.948
Sn 2.321 0.000 11.592
Sn 2.321 2.321 0.000
Sn 2.321 2.321 4.626
Sn 2.321 2.321 9.271
```

# 5
A geometry-optimized UPaSn structure. Source: the Alexandria database, functional PBE.

Output
As for the crystal system: orthorhombic. Its energy above the lowest structure with this stoichiometry is 55.4 meV/atom.

The structure in extended XYZ format:
```
6
Lattice="-2.610 3.089 4.275 2.610 -3.089 4.275 2.610 3.089 -4.275" Properties=species:S:1:pos:R:3 pbc="T T T"
U 0.000 0.000 1.254
U 0.000 0.000 7.295
Pa 2.610 0.000 2.846
Pa 0.000 3.089 1.429
Sn 2.610 1.576 0.000
Sn 0.000 1.513 4.275
```

# 6
A geometry-optimized PaVSn2 structure. Source: the Alexandria database, functional PBE.

Output
As for the crystal system: tetragonal. Its energy above the lowest structure with this stoichiometry is 51.3 meV/atom.

The structure in extended XYZ format:
```
4
Lattice="3.505 0.000 0.000 0.000 3.505 0.000 0.000 0.000 7.027" Properties=species:S:1:pos:R:3 pbc="T T T"
Pa 0.000 0.000 0.000
V 0.000 0.000 3.513
Sn 1.752 1.752 2.040
Sn 1.752 1.752 4.987
```

# 7
A geometry-optimized PaVSn2 structure. Source: the Alexandria database, functional PBE.

Output
As for the crystal system: trigonal. Its energy above the lowest structure with this stoichiometry is 280.9 meV/atom.

The structure in extended XYZ format:
```
4
Lattice="1.559 0.900 10.904 -1.559 0.900 10.904 0.000 -1.800 10.904" Properties=species:S:1:pos:R:3 pbc="T T T"
Pa 0.000 0.000 0.000
V 0.000 0.000 16.357
Sn 0.000 0.000 3.210
Sn 0.000 0.000 29.503
```

# 8
A geometry-optimized PaVSn2 structure. Source: the Alexandria database, functional PBE.

Output
As for the crystal system: tetragonal. Its energy above the lowest structure with this stoichiometry is 0.0 meV/atom.

The structure in extended XYZ format:
```
4
Lattice="4.470 0.000 0.000 0.000 4.470 0.000 0.000 0.000 4.535" Properties=species:S:1:pos:R:3 pbc="T T T"
Pa 0.000 0.000 0.000
V 2.235 2.235 0.000
Sn 0.000 2.235 2.268
Sn 2.235 0.000 2.268
```

| no. | total magnetic moment (μB/f.u.) |
| --- | --- |
| 1 | 0.00 |
| 2 | 4.12 |
| 3 | 2.22 |
| 4 | 2.14 |
| 5 | 0.26 |
| 6 | 0.00 |
| 7 | 0.00 |
| 8 | 2.74 |